{
  "formula": "ErFeF5",
  "functional": "GGA+U",
  "state": "relaxed",
  "lattice_angstrom": [[4.518, -3.419, 0.000], [4.518, 3.419, 0.000], [-3.078, 0.000, 6.890]],
  "species": ["Er", "Er", "Fe", "Fe", "F", "F", "F", "F", "F", "F", "F", "F", "F", "F"],
  "frac_coords": [[0.050, 0.950, 0.750], [0.950, 0.050, 0.250], [0.500, 0.500, 0.000], [0.500, 0.500, 0.500], [0.171, 0.811, 0.037], [0.189, 0.829, 0.463], [0.231, 0.285, 0.373], [0.285, 0.231, 0.873], [0.373, 0.627, 0.750], [0.627, 0.373, 0.250], [0.715, 0.769, 0.127], [0.769, 0.715, 0.627], [0.811, 0.171, 0.537], [0.829, 0.189, 0.963]],
  "n_ef_per_ev_atom": 0.000,
  "dft_energy_ev_per_atom": -6.212,
  "m_tot_mub_per_cell": 8.0,
  "sg": "No. 15",
  "mass_density_g_cm3": 4.96
}